P | A geometry-optimized MgTiSb2I structure. Source: Alexandria via LeMat-Bulk, functional PBE-GGA.

```
data_MgTiSb2I
_chemical_formula_sum 'Mg1 Ti1 Sb2 I1'
_space_group_name_H-M_alt 'P 1'
_space_group_IT_number 1
_cell_length_a 5.3161
_cell_length_b 5.3161
_cell_length_c 5.6043
_cell_angle_alpha 90.00
_cell_angle_beta 90.00
_cell_angle_gamma 90.00
loop_
_space_group_symop_operation_xyz
'x,y,z'
loop_
_atom_site_label
_atom_site_fract_x
_atom_site_fract_y
_atom_site_fract_z
Mg1 0.0000 0.0000 0.0000
Sb1 0.5000 0.0000 0.0000
Sb2 0.0000 0.5000 0.0000
Ti1 0.5000 0.5000 0.5000
I1 0.0000 0.0000 0.5000
```

Q | A geometry-optimized MgTiSb2I structure. Source: Alexandria via LeMat-Bulk, functional PBE-GGA.

```
data_MgTiSb2I
_chemical_formula_sum 'Mg1 Ti1 Sb2 I1'
_space_group_name_H-M_alt 'P 1'
_space_group_IT_number 1
_cell_length_a 5.2829
_cell_length_b 5.2829
_cell_length_c 5.6799
_cell_angle_alpha 90.00
_cell_angle_beta 90.00
_cell_angle_gamma 90.00
loop_
_space_group_symop_operation_xyz
'x,y,z'
loop_
_atom_site_label
_atom_site_fract_x
_atom_site_fract_y
_atom_site_fract_z
Sb1 0.5000 0.0000 0.0000
Sb2 0.0000 0.5000 0.0000
Ti1 0.0000 0.0000 0.0000
Mg1 0.5000 0.5000 0.5000
I1 0.0000 0.0000 0.5000
```

Of them, the most stable is Q and the least stable is P.

P | A geometry-optimized MgVSbI2 structure. Source: Alexandria via LeMat-Bulk, functional PBE-GGA.

```
data_MgVSbI2
_chemical_formula_sum 'Mg1 V1 Sb1 I2'
_space_group_name_H-M_alt 'P 1'
_space_group_IT_number 1
_cell_length_a 5.4959
_cell_length_b 5.4959
_cell_length_c 5.4005
_cell_angle_alpha 90.00
_cell_angle_beta 90.00
_cell_angle_gamma 90.00
loop_
_space_group_symop_operation_xyz
'x,y,z'
loop_
_atom_site_label
_atom_site_fract_x
_atom_site_fract_y
_atom_site_fract_z
I1 0.5000 0.0000 0.0000
I2 0.0000 0.5000 0.0000
V1 0.0000 0.0000 0.0000
Mg1 0.5000 0.5000 0.5000
Sb1 0.0000 0.0000 0.5000
```

Q | A geometry-optimized MgVSbI2 structure. Source: Alexandria via LeMat-Bulk, functional PBE-GGA.

```
data_MgVSbI2
_chemical_formula_sum 'Mg1 V1 Sb1 I2'
_space_group_name_H-M_alt 'P 1'
_space_group_IT_number 1
_cell_length_a 5.6105
_cell_length_b 5.6105
_cell_length_c 5.5300
_cell_angle_alpha 90.00
_cell_angle_beta 90.00
_cell_angle_gamma 90.00
loop_
_space_group_symop_operation_xyz
'x,y,z'
loop_
_atom_site_label
_atom_site_fract_x
_atom_site_fract_y
_atom_site_fract_z
V1 0.5000 0.5000 0.5000
Sb1 0.0000 0.0000 0.5000
I1 0.5000 0.0000 0.0000
I2 0.0000 0.5000 0.0000
Mg1 0.0000 0.0000 0.0000
```

Of them, the most stable is P and the least stable is Q.

P | A geometry-optimized MgVSb2I structure. Source: Alexandria via LeMat-Bulk, functional PBE-GGA.

```
data_MgVSb2I
_chemical_formula_sum 'Mg1 V1 Sb2 I1'
_space_group_name_H-M_alt 'P 1'
_space_group_IT_number 1
_cell_length_a 5.3387
_cell_length_b 5.3387
_cell_length_c 5.5707
_cell_angle_alpha 90.00
_cell_angle_beta 90.00
_cell_angle_gamma 90.00
loop_
_space_group_symop_operation_xyz
'x,y,z'
loop_
_atom_site_label
_atom_site_fract_x
_atom_site_fract_y
_atom_site_fract_z
V1 0.5000 0.5000 0.5000
Sb1 0.0000 0.5000 0.0000
Sb2 0.5000 0.0000 0.0000
I1 0.0000 0.0000 0.5000
Mg1 0.0000 0.0000 0.0000
```

Q | A geometry-optimized MgVSb2I structure. Source: Alexandria via LeMat-Bulk, functional PBE-GGA.

```
data_MgVSb2I
_chemical_formula_sum 'Mg1 V1 Sb2 I1'
_space_group_name_H-M_alt 'P 1'
_space_group_IT_number 1
_cell_length_a 5.0776
_cell_length_b 5.0776
_cell_length_c 5.9714
_cell_angle_alpha 90.00
_cell_angle_beta 90.00
_cell_angle_gamma 90.00
loop_
_space_group_symop_operation_xyz
'x,y,z'
loop_
_atom_site_label
_atom_site_fract_x
_atom_site_fract_y
_atom_site_fract_z
I1 0.0000 0.0000 0.5000
Sb1 0.0000 0.5000 0.0000
Sb2 0.5000 0.0000 0.0000
Mg1 0.5000 0.5000 0.5000
V1 0.0000 0.0000 0.0000
```

Of them, the most stable is Q and the least stable is P.

P | A geometry-optimized MgZnSbI2 structure. Source: Alexandria via LeMat-Bulk, functional PBE-GGA.

```
data_MgZnSbI2
_chemical_formula_sum 'Mg1 Zn1 Sb1 I2'
_space_group_name_H-M_alt 'P 1'
_space_group_IT_number 1
_cell_length_a 5.5732
_cell_length_b 5.5732
_cell_length_c 5.4197
_cell_angle_alpha 90.00
_cell_angle_beta 90.00
_cell_angle_gamma 90.00
loop_
_space_group_symop_operation_xyz
'x,y,z'
loop_
_atom_site_label
_atom_site_fract_x
_atom_site_fract_y
_atom_site_fract_z
I1 0.0000 0.5000 0.0000
I2 0.5000 0.0000 0.0000
Zn1 0.0000 0.0000 0.0000
Mg1 0.5000 0.5000 0.5000
Sb1 0.0000 0.0000 0.5000
```

Q | A geometry-optimized MgZnSbI2 structure. Source: Alexandria via LeMat-Bulk, functional PBE-GGA.

```
data_MgZnSbI2
_chemical_formula_sum 'Mg1 Zn1 Sb1 I2'
_space_group_name_H-M_alt 'P 1'
_space_group_IT_number 1
_cell_length_a 5.6997
_cell_length_b 5.6997
_cell_length_c 5.7551
_cell_angle_alpha 90.00
_cell_angle_beta 90.00
_cell_angle_gamma 90.00
loop_
_space_group_symop_operation_xyz
'x,y,z'
loop_
_atom_site_label
_atom_site_fract_x
_atom_site_fract_y
_atom_site_fract_z
Sb1 0.0000 0.0000 0.5000
Zn1 0.5000 0.5000 0.5000
I1 0.5000 0.0000 0.0000
I2 0.0000 0.5000 0.0000
Mg1 0.0000 0.0000 0.0000
```

R | A geometry-optimized MgZnSbI2 structure. Source: Alexandria via LeMat-Bulk, functional PBE-GGA.

```
data_MgZnSbI2
_chemical_formula_sum 'Mg1 Zn1 Sb1 I2'
_space_group_name_H-M_alt 'P 1'
_space_group_IT_number 1
_cell_length_a 6.1232
_cell_length_b 5.6842
_cell_length_c 6.1232
_cell_angle_alpha 90.00
_cell_angle_beta 90.00
_cell_angle_gamma 90.00
loop_
_space_group_symop_operation_xyz
'x,y,z'
loop_
_atom_site_label
_atom_site_fract_x
_atom_site_fract_y
_atom_site_fract_z
I1 0.0000 0.0000 0.5000
I2 0.5000 0.0000 0.0000
Mg1 0.0000 0.5000 0.0000
Zn1 0.5000 0.5000 0.5000
Sb1 0.0000 0.0000 0.0000
```

Of them, the most stable is R and the least stable is P.

P | A geometry-optimized MgZrSb2I structure. Source: Alexandria via LeMat-Bulk, functional PBE-GGA.

```
data_MgZrSb2I
_chemical_formula_sum 'Mg1 Zr1 Sb2 I1'
_space_group_name_H-M_alt 'P 1'
_space_group_IT_number 1
_cell_length_a 5.6114
_cell_length_b 5.6114
_cell_length_c 5.7205
_cell_angle_alpha 90.00
_cell_angle_beta 90.00
_cell_angle_gamma 90.00
loop_
_space_group_symop_operation_xyz
'x,y,z'
loop_
_atom_site_label
_atom_site_fract_x
_atom_site_fract_y
_atom_site_fract_z
Mg1 0.5000 0.5000 0.5000
Sb1 0.0000 0.5000 0.0000
Sb2 0.5000 0.0000 0.0000
Zr1 0.0000 0.0000 0.0000
I1 0.0000 0.0000 0.5000
```

Q | A geometry-optimized MgZrSb2I structure. Source: Alexandria via LeMat-Bulk, functional PBE-GGA.

```
data_MgZrSb2I
_chemical_formula_sum 'Mg1 Zr1 Sb2 I1'
_space_group_name_H-M_alt 'P 1'
_space_group_IT_number 1
_cell_length_a 5.2942
_cell_length_b 5.2942
_cell_length_c 5.5621
_cell_angle_alpha 90.00
_cell_angle_beta 90.00
_cell_angle_gamma 90.00
loop_
_space_group_symop_operation_xyz
'x,y,z'
loop_
_atom_site_label
_atom_site_fract_x
_atom_site_fract_y
_atom_site_fract_z
Sb1 0.5000 0.0000 0.0000
Sb2 0.0000 0.5000 0.0000
Mg1 0.0000 0.0000 0.0000
Zr1 0.5000 0.5000 0.5000
I1 0.0000 0.0000 0.5000
```

Of them, the most stable is P and the least stable is Q.

P | A geometry-optimized MgScI4 structure. Source: Alexandria via LeMat-Bulk, functional PBE-GGA.

```
data_MgScI4
_chemical_formula_sum 'Mg2 Sc2 I8'
_space_group_name_H-M_alt 'P 1'
_space_group_IT_number 1
_cell_length_a 5.9421
_cell_length_b 9.7449
_cell_length_c 9.2351
_cell_angle_alpha 109.14
_cell_angle_beta 90.00
_cell_angle_gamma 107.75
loop_
_space_group_symop_operation_xyz
'x,y,z'
loop_
_atom_site_label
_atom_site_fract_x
_atom_site_fract_y
_atom_site_fract_z
I1 0.9358 0.8717 0.6253
I2 0.2777 0.5553 0.6896
I3 0.8744 0.7488 0.9880
I4 0.7223 0.4447 0.3104
I5 0.6333 0.2666 0.6977
I6 0.0642 0.1283 0.3747
I7 0.1256 0.2512 0.0120
I8 0.3667 0.7334 0.3023
Sc1 0.7810 0.5619 0.6517
Sc2 0.2190 0.4381 0.3483
Mg1 0.1125 0.2250 0.7037
Mg2 0.8875 0.7750 0.2963
```

Q | A geometry-optimized MgScI4 structure. Source: Alexandria via LeMat-Bulk, functional PBE-GGA.

```
data_MgScI4
_chemical_formula_sum 'Mg1 Sc1 I4'
_space_group_name_H-M_alt 'P 1'
_space_group_IT_number 1
_cell_length_a 4.1407
_cell_length_b 7.6322
_cell_length_c 7.4462
_cell_angle_alpha 90.37
_cell_angle_beta 90.00
_cell_angle_gamma 90.00
loop_
_space_group_symop_operation_xyz
'x,y,z'
loop_
_atom_site_label
_atom_site_fract_x
_atom_site_fract_y
_atom_site_fract_z
I1 0.0000 0.7764 0.3252
I2 0.5000 0.7811 0.8284
I3 0.0000 0.2236 0.6748
I4 0.5000 0.2189 0.1716
Mg1 0.0000 0.0000 0.0000
Sc1 0.5000 0.0000 0.5000
```

Of them, the most stable is Q and the least stable is P.